Entry 1:
# NaLiBe2Cl6 PBE-GGA relaxed
data_NaLiBe2Cl6
_symmetry_space_group_name_H-M 'P 1'
_symmetry_Int_Tables_number 1
_symmetry_space_group_name_Hall 'P 1'
_cell_length_a 6.305
_cell_length_b 8.526
_cell_length_c 8.526
_cell_angle_alpha 88.61
_cell_angle_beta 78.79
_cell_angle_gamma 78.79
loop_
_atom_site_label
_atom_site_fract_x
_atom_site_fract_y
_atom_site_fract_z
Cl1 0.466 0.595 0.705
Cl2 0.675 0.782 0.966
Cl3 0.966 0.705 0.595
Cl4 0.388 0.846 0.404
Cl5 0.825 0.034 0.218
Cl6 0.175 0.966 0.782
Cl7 0.612 0.154 0.596
Cl8 0.112 0.596 0.154
Cl9 0.534 0.405 0.295
Cl10 0.888 0.404 0.846
Cl11 0.325 0.218 0.034
Cl12 0.034 0.295 0.405
Be1 0.754 0.623 0.781
Be2 0.746 0.219 0.377
Be3 0.254 0.781 0.623
Be4 0.246 0.377 0.219
Na1 0.750 0.106 0.894
Na2 0.250 0.894 0.106
Li1 0.250 0.254 0.746
Li2 0.750 0.746 0.254
# Space group   C2/c (15)
# Formation energy from raw total energies   -1.551 eV/atom
# E   -74.54 eV for the cell shown

---

Entry 2:
# NaLiBe2Cl PBE-GGA relaxed
data_NaLiBe2Cl
_symmetry_space_group_name_H-M 'P 1'
_symmetry_Int_Tables_number 1
_symmetry_space_group_name_Hall 'P 1'
_cell_length_a 4.385
_cell_length_b 5.185
_cell_length_c 4.385
_cell_angle_alpha 90.00
_cell_angle_beta 90.00
_cell_angle_gamma 90.00
loop_
_atom_site_label
_atom_site_fract_x
_atom_site_fract_y
_atom_site_fract_z
Li1 0.000 0.000 0.000
Cl1 0.000 0.500 0.000
Be1 0.000 0.000 0.500
Be2 0.500 0.000 0.000
Na1 0.500 0.500 0.500
# Space group   P4/mmm (123)
# Formation energy from raw total energies   0.485 eV/atom
# E   -10.11 eV for the cell shown

---

Entry 3:
# Li4Be3P3ClO12 PBE-GGA relaxed
data_Li4Be3P3ClO12
_symmetry_space_group_name_H-M 'P 1'
_symmetry_Int_Tables_number 1
_symmetry_space_group_name_Hall 'P 1'
_cell_length_a 8.105
_cell_length_b 8.105
_cell_length_c 8.105
_cell_angle_alpha 90.00
_cell_angle_beta 90.00
_cell_angle_gamma 90.00
loop_
_atom_site_label
_atom_site_fract_x
_atom_site_fract_y
_atom_site_fract_z
O1 0.644 0.636 0.917
O2 0.856 0.583 0.136
O3 0.917 0.644 0.636
O4 0.136 0.144 0.417
O5 0.856 0.417 0.864
O6 0.356 0.636 0.083
O7 0.364 0.083 0.644
O8 0.144 0.417 0.136
O9 0.144 0.583 0.864
O10 0.417 0.136 0.144
O11 0.583 0.136 0.856
O12 0.864 0.856 0.417
O13 0.636 0.083 0.356
O14 0.644 0.364 0.083
O15 0.083 0.356 0.636
O16 0.417 0.864 0.856
O17 0.636 0.917 0.644
O18 0.356 0.364 0.917
O19 0.136 0.856 0.583
O20 0.864 0.144 0.583
O21 0.583 0.864 0.144
O22 0.364 0.917 0.356
O23 0.917 0.356 0.364
O24 0.083 0.644 0.364
Li1 0.828 0.828 0.172
Li2 0.172 0.828 0.828
Li3 0.828 0.172 0.828
Li4 0.172 0.172 0.172
Li5 0.672 0.328 0.328
Li6 0.328 0.328 0.672
Li7 0.672 0.672 0.672
Li8 0.328 0.672 0.328
P1 0.750 0.500 0.000
P2 0.250 0.500 0.000
P3 0.500 0.000 0.250
P4 0.000 0.250 0.500
P5 0.500 0.000 0.750
P6 0.000 0.750 0.500
Be1 0.500 0.750 0.000
Be2 0.250 0.000 0.500
Be3 0.000 0.500 0.250
Be4 0.000 0.500 0.750
Be5 0.500 0.250 0.000
Be6 0.750 0.000 0.500
Cl1 0.000 0.000 0.000
Cl2 0.500 0.500 0.500
# Space group   P-43n (218)
# Formation energy from raw total energies   -2.480 eV/atom
# E   -306.88 eV for the cell shown

---

Entry 4:
# LiBeP2Cl PBE-GGA relaxed
data_LiBeP2Cl
_symmetry_space_group_name_H-M 'P 1'
_symmetry_Int_Tables_number 1
_symmetry_space_group_name_Hall 'P 1'
_cell_length_a 4.400
_cell_length_b 4.400
_cell_length_c 4.530
_cell_angle_alpha 90.00
_cell_angle_beta 90.00
_cell_angle_gamma 90.00
loop_
_atom_site_label
_atom_site_fract_x
_atom_site_fract_y
_atom_site_fract_z
Be1 0.500 0.500 0.500
P1 0.000 0.500 0.000
P2 0.500 0.000 0.000
Cl1 0.000 0.000 0.500
Li1 0.000 0.000 0.000
# Space group   P4/mmm (123)
# Formation energy from raw total energies   0.905 eV/atom
# E   -13.78 eV for the cell shown

---

Entry 5:
# LiBeP2Cl PBE-GGA relaxed
data_LiBeP2Cl
_symmetry_space_group_name_H-M 'P 1'
_symmetry_Int_Tables_number 1
_symmetry_space_group_name_Hall 'P 1'
_cell_length_a 3.983
_cell_length_b 3.983
_cell_length_c 8.095
_cell_angle_alpha 90.00
_cell_angle_beta 90.00
_cell_angle_gamma 90.00
loop_
_atom_site_label
_atom_site_fract_x
_atom_site_fract_y
_atom_site_fract_z
Li1 0.500 0.500 0.500
Cl1 0.000 0.000 0.500
P1 0.000 0.500 0.000
P2 0.500 0.000 0.000
Be1 0.000 0.000 0.000
# Space group   P4/mmm (123)
# Formation energy from raw total energies   -0.049 eV/atom
# E   -18.55 eV for the cell shown

---

Entry 6:
# Rb2LiBeCl6 PBE-GGA relaxed
data_Rb2LiBeCl6
_symmetry_space_group_name_H-M 'P 1'
_symmetry_Int_Tables_number 1
_symmetry_space_group_name_Hall 'P 1'
_cell_length_a 7.181
_cell_length_b 7.181
_cell_length_c 6.816
_cell_angle_alpha 58.21
_cell_angle_beta 58.21
_cell_angle_gamma 90.00
loop_
_atom_site_label
_atom_site_fract_x
_atom_site_fract_y
_atom_site_fract_z
Rb1 0.750 0.250 0.500
Rb2 0.250 0.750 0.500
Be1 0.000 0.000 0.000
Cl1 0.235 0.235 0.531
Cl2 0.765 0.765 0.469
Cl3 0.235 0.765 0.000
Cl4 0.765 0.765 0.000
Cl5 0.765 0.235 0.000
Cl6 0.235 0.235 0.000
Li1 0.500 0.500 0.000
# Space group   I4/mmm (139)
# Formation energy from raw total energies   -1.395 eV/atom
# E   -32.60 eV for the cell shown

---

Entry 7:
# RbLiBe2Cl6 PBE-GGA relaxed
data_RbLiBe2Cl6
_symmetry_space_group_name_H-M 'P 1'
_symmetry_Int_Tables_number 1
_symmetry_space_group_name_Hall 'P 1'
_cell_length_a 6.584
_cell_length_b 6.584
_cell_length_c 8.355
_cell_angle_alpha 66.79
_cell_angle_beta 66.79
_cell_angle_gamma 60.00
loop_
_atom_site_label
_atom_site_fract_x
_atom_site_fract_y
_atom_site_fract_z
Li1 0.500 0.500 0.500
Cl1 0.922 0.500 0.286
Cl2 0.500 0.709 0.714
Cl3 0.078 0.500 0.714
Cl4 0.709 0.078 0.714
Cl5 0.291 0.922 0.286
Cl6 0.500 0.291 0.286
Be1 0.766 0.766 0.703
Be2 0.234 0.234 0.297
Rb1 0.000 0.000 0.000
# Space group   R-3 (148)
# Formation energy from raw total energies   -1.592 eV/atom
# E   -37.33 eV for the cell shown

---

Entry 8:
# LiBeSn2Cl PBE-GGA relaxed
data_LiBeSn2Cl
_symmetry_space_group_name_H-M 'P 1'
_symmetry_Int_Tables_number 1
_symmetry_space_group_name_Hall 'P 1'
_cell_length_a 4.711
_cell_length_b 5.586
_cell_length_c 4.711
_cell_angle_alpha 90.00
_cell_angle_beta 90.00
_cell_angle_gamma 90.00
loop_
_atom_site_label
_atom_site_fract_x
_atom_site_fract_y
_atom_site_fract_z
Be1 0.000 0.000 0.000
Sn1 0.000 0.000 0.500
Sn2 0.500 0.000 0.000
Cl1 0.500 0.500 0.500
Li1 0.000 0.500 0.000
# Space group   P4/mmm (123)
# Formation energy from raw total energies   -0.022 eV/atom
# E   -15.60 eV for the cell shown

---

Entry 9:
# LiTa2BeCl PBE-GGA relaxed
data_LiTa2BeCl
_symmetry_space_group_name_H-M 'P 1'
_symmetry_Int_Tables_number 1
_symmetry_space_group_name_Hall 'P 1'
_cell_length_a 4.424
_cell_length_b 4.721
_cell_length_c 4.424
_cell_angle_alpha 90.00
_cell_angle_beta 90.00
_cell_angle_gamma 90.00
loop_
_atom_site_label
_atom_site_fract_x
_atom_site_fract_y
_atom_site_fract_z
Ta1 0.500 0.000 0.000
Ta2 0.000 0.000 0.500
Cl1 0.500 0.500 0.500
Li1 0.000 0.500 0.000
Be1 0.000 0.000 0.000
# Space group   P4/mmm (123)
# Formation energy from raw total energies   0.994 eV/atom
# E   -26.22 eV for the cell shown

---

Entry 10:
# LiBeTlCl4 PBE-GGA relaxed
data_LiBeTlCl4
_symmetry_space_group_name_H-M 'P 1'
_symmetry_Int_Tables_number 1
_symmetry_space_group_name_Hall 'P 1'
_cell_length_a 5.910
_cell_length_b 6.929
_cell_length_c 8.816
_cell_angle_alpha 90.00
_cell_angle_beta 107.96
_cell_angle_gamma 90.00
loop_
_atom_site_label
_atom_site_fract_x
_atom_site_fract_y
_atom_site_fract_z
Be1 0.805 0.250 0.695
Be2 0.195 0.750 0.305
Tl1 0.730 0.750 0.909
Tl2 0.270 0.250 0.091
Cl1 0.973 0.983 0.296
Cl2 0.973 0.517 0.296
Cl3 0.027 0.483 0.704
Cl4 0.299 0.750 0.107
Cl5 0.539 0.250 0.490
Cl6 0.701 0.250 0.893
Cl7 0.461 0.750 0.510
Cl8 0.027 0.017 0.704
Li1 0.146 0.250 0.509
Li2 0.854 0.750 0.491
# Space group   P2_1/m (11)
# Formation energy from raw total energies   -1.420 eV/atom
# E   -50.67 eV for the cell shown

---

Entry 11:
# LiBe2TlCl6 PBE-GGA relaxed
data_LiBe2TlCl6
_symmetry_space_group_name_H-M 'P 1'
_symmetry_Int_Tables_number 1
_symmetry_space_group_name_Hall 'P 1'
_cell_length_a 5.841
_cell_length_b 9.521
_cell_length_c 9.521
_cell_angle_alpha 98.73
_cell_angle_beta 84.79
_cell_angle_gamma 84.79
loop_
_atom_site_label
_atom_site_fract_x
_atom_site_fract_y
_atom_site_fract_z
Cl1 0.059 0.562 0.201
Cl2 0.441 0.799 0.438
Cl3 0.559 0.201 0.562
Cl4 0.470 0.599 0.699
Cl5 0.237 0.224 0.054
Cl6 0.030 0.301 0.401
Cl7 0.530 0.401 0.301
Cl8 0.263 0.946 0.776
Cl9 0.763 0.776 0.946
Cl10 0.941 0.438 0.799
Cl11 0.737 0.054 0.224
Cl12 0.970 0.699 0.599
Be1 0.704 0.225 0.372
Be2 0.204 0.372 0.225
Be3 0.296 0.775 0.628
Be4 0.796 0.628 0.775
Tl1 0.750 0.118 0.882
Tl2 0.250 0.882 0.118
Li1 0.750 0.616 0.384
Li2 0.250 0.384 0.616
# Space group   C2/c (15)
# Formation energy from raw total energies   -1.409 eV/atom
# E   -73.80 eV for the cell shown

---

Entry 12:
# MgBeCl3 PBE-GGA relaxed
data_MgBeCl3
_symmetry_space_group_name_H-M 'P 1'
_symmetry_Int_Tables_number 1
_symmetry_space_group_name_Hall 'P 1'
_cell_length_a 4.538
_cell_length_b 4.538
_cell_length_c 4.538
_cell_angle_alpha 90.00
_cell_angle_beta 90.00
_cell_angle_gamma 90.00
loop_
_atom_site_label
_atom_site_fract_x
_atom_site_fract_y
_atom_site_fract_z
Be1 0.000 0.000 0.000
Mg1 0.500 0.500 0.500
Cl1 0.000 0.000 0.500
Cl2 0.500 0.000 0.000
Cl3 0.000 0.500 0.000
# Space group   Pm-3m (221)
# Formation energy from raw total energies   -0.783 eV/atom
# E   -14.78 eV for the cell shown